No. 1
TbSmTlSn after structural relaxation. Source: Alexandria, functional PBE.

Its density is 9.372 g cm⁻³. Its total energy is -17.64 eV/f.u. The value obtained for the formation energy from the elements is -0.48 eV per atom. For the magnetic moment, the calculation gives 0.00 μB/f.u. Its polymorph energy (0 for the lowest one) is 0.31 eV/f.u.

It has space group F-43m (No. 216), with a = 7.6527 Å, b = 7.6527 Å, c = 7.6527 Å, α = 90.00°, β = 90.00° and γ = 90.00°. The distinct sites, in fractional coordinates, are Tb at (0.0000, 0.0000, 0.0000), Sm at (0.0000, 0.0000, 0.5000), Tl at (0.2500, 0.2500, 0.2500) and Sn at (0.2500, 0.2500, 0.7500).

No. 2
TbSm2Zn2Sn2 after structural relaxation. Source: Alexandria, functional PBE.

Its density is 7.699 g cm⁻³. Its total energy is -27.10 eV/f.u. The value obtained for the formation energy from the elements is -0.35 eV per atom. For the magnetic moment, the calculation gives 0.00 μB/f.u.

It has space group R-3m (No. 166, hexagonal axes), with a = 4.6452 Å, b = 4.6452 Å, c = 28.6647 Å, α = 90.00°, β = 90.00° and γ = 120.00°. The distinct sites, in fractional coordinates, are Tb at (0.0000, 0.0000, 0.0000), Sm at (0.0000, 0.0000, 0.1297), Zn at (0.0000, 0.0000, 0.4154) and Sn at (0.0000, 0.0000, 0.2700).

No. 3
Sm6TcSn2 after structural relaxation. Source: Alexandria, functional PBE.

Its density is 7.838 g cm⁻³. Its total energy is -50.37 eV/f.u. The value obtained for the formation energy from the elements is -0.41 eV per atom. For the magnetic moment, the calculation gives 0.00 μB/f.u.

It has space group P-62m (No. 189), with a = 8.2546 Å, b = 8.2546 Å, c = 4.4433 Å, α = 90.00°, β = 90.00° and γ = 120.00°. The distinct sites, in fractional coordinates, are Sm at (0.0000, 0.4074, 0.0000), Sm at (0.0000, 0.7625, 0.5000), Tc at (0.0000, 0.0000, 0.0000) and Sn at (0.3333, 0.6667, 0.5000).

No. 4
SmSnTe3 after structural relaxation. Source: Alexandria, functional PBE.

Its density is 6.206 g cm⁻³. Its total energy is -22.07 eV/f.u. For the magnetic moment, the calculation gives 0.00 μB/f.u. Its formation energy (no corrections) is -0.784 eV per atom.

It has space group C2/m (No. 12), with a = 18.7221 Å, b = 4.6167 Å, c = 8.3545 Å, α = 90.00°, β = 104.96° and γ = 90.00°. The distinct sites, in fractional coordinates, are Sm at (0.2192, 0.0000, 0.2496), Sn at (0.0449, 0.5000, 0.6994), Te at (0.0362, 0.0000, 0.1733), Te at (0.1665, 0.0000, 0.5786) and Te at (0.1670, 0.5000, 0.9903).